Computed, not measured: a relaxed structure of HoAgGe at the PBE level of DFT.

The structure belongs to space group P-62m (No. 189); the cell edges are 7.1498, 7.1498 and 4.2117 Å and the angles 90.00°, 90.00° and 120.00°. The inequivalent atoms are Ho at (0.0000, 0.5826, 0.0000), Ag at (0.0000, 0.2507, 0.5000), Ge at (0.0000, 0.0000, 0.0000) and Ge at (0.3333, 0.6667, 0.5000).

The calculation puts the magnetization at 0.00 μB/atom. The value obtained for the theoretical density is 9.229 g/cm³. The total energy comes out at -41.96 eV for the cell shown.

=====

Computed, not measured: a relaxed structure of Sm4C2Br4Cl at the PBE level of DFT.

The structure belongs to space group C2/m (No. 12); the cell edges are 19.292, 3.849 and 7.974 Å and the angles 90.00°, 103.85° and 90.00°. The inequivalent atoms are Sm at (0.000, 0.000, 0.207), Sm at (0.156, 0.500, 0.098), C at (0.038, 0.500, 0.022), Br at (0.160, 0.000, 0.373), Br at (0.168, 0.000, 0.826) and Cl at (0.000, 0.500, 0.500).

The calculation puts the magnetization at 0.00 μB/atom. The value obtained for the theoretical density is 5.664 g/cm³. The total energy comes out at -122.54 eV for the cell shown.

=====

Computed, not measured: a relaxed structure of PrNpW2C3 at the PBE level of DFT.

The structure belongs to space group Cm (No. 8); the cell edges are 12.156, 3.325 and 5.803 Å and the angles 90.00°, 114.18° and 90.00°. The inequivalent atoms are Pr at (0.000, 0.000, 0.000), Np at (0.213, 0.000, 0.624), W at (0.257, 0.500, 0.128), W at (0.443, 0.000, 0.475), C at (0.106, 0.500, 0.790), C at (0.346, 0.000, 0.066) and C at (0.349, 0.500, 0.539).

The calculation puts the magnetization at 0.49 μB/atom. The value obtained for the theoretical density is 12.132 g/cm³. The total energy comes out at -143.65 eV for the cell shown.

=====

Computed, not measured: a relaxed structure of NaNbO2 at the PBE level of DFT.

The structure belongs to space group C2/c (No. 15); the cell edges are 6.194, 6.254 and 5.101 Å and the angles 90.00°, 119.42° and 90.00°. The inequivalent atoms are Na at (0.000, 0.114, 0.250), Nb at (0.000, 0.401, 0.750) and O at (0.249, 0.360, 0.236).

The calculation puts the magnetization at 0.00 μB/atom. The value obtained for the theoretical density is 5.707 g/cm³. The total energy comes out at -114.62 eV for the cell shown.

=====

Computed, not measured: a relaxed structure of SmAgAu at the PBE level of DFT.

The structure belongs to space group P4/nmm (No. 129, origin choice 2); the cell edges are 3.818, 3.818 and 9.290 Å and the angles 90.00°, 90.00° and 90.00°. The inequivalent atoms are Sm at (0.250, 0.250, 0.241), Ag at (0.250, 0.250, 0.573) and Au at (0.250, 0.250, 0.909).

The calculation puts the magnetization at 0.00 μB/atom. The value obtained for the theoretical density is 11.160 g/cm³. Its energy above the lowest structure with this stoichiometry is 0.000 eV/atom. Its energy relative to the elements is -578.0 meV/atom.

=====

Computed, not measured: a relaxed structure of TbSmNi8B2 at the PBE level of DFT.

The structure belongs to space group P6/mmm (No. 191); the cell edges are 5.0153, 5.0153 and 6.9939 Å and the angles 90.00°, 90.00° and 120.00°. The inequivalent atoms are Tb at (0.0000, 0.0000, 0.0000), Sm at (0.0000, 0.0000, 0.5000), Ni at (0.0000, 0.5000, 0.2923), Ni at (0.3333, 0.6667, 0.0000) and B at (0.3333, 0.6667, 0.5000).

The calculation puts the magnetization at 0.00 μB/atom. The value obtained for the theoretical density is 8.724 g/cm³. Its energy above the lowest structure with this stoichiometry is 0.016 eV/atom.

=====

Computed, not measured: a relaxed structure of HoErInC at the PBE level of DFT.

The structure belongs to space group P6_3mc (No. 186); the cell edges are 3.5745, 3.5745 and 16.2175 Å and the angles 90.00°, 90.00° and 120.00°. The inequivalent atoms are Ho at (0.3333, 0.6667, 0.0000), Er at (0.3333, 0.6667, 0.6652), In at (0.3333, 0.6667, 0.3319) and C at (0.0000, 0.0000, 0.0828).

The calculation puts the magnetization at 0.01 μB/atom. The value obtained for the theoretical density is 8.495 g/cm³. The total energy comes out at -45.51 eV for the cell shown.

=====

Computed, not measured: a relaxed structure of LiHf3S5 at the PBE level of DFT.

The structure belongs to space group P6/mmm (No. 191); the cell edges are 6.0216, 6.0216 and 6.8913 Å and the angles 90.00°, 90.00° and 120.00°. The inequivalent atoms are Li at (0.0000, 0.0000, 0.0000), Hf at (0.0000, 0.5000, 0.5000), S at (0.0000, 0.0000, 0.5000) and S at (0.3333, 0.6667, 0.2335).

The calculation puts the magnetization at 0.00 μB/atom. The value obtained for the theoretical density is 5.392 g/cm³. The total energy comes out at -62.09 eV for the cell shown.

=====

Computed, not measured: a relaxed structure of DyYTc at the PBE level of DFT.

The structure belongs to space group F-43m (No. 216); the cell edges are 6.740, 6.740 and 6.740 Å and the angles 90.00°, 90.00° and 90.00°. The inequivalent atoms are Dy at (0.000, 0.000, 0.000), Y at (0.250, 0.250, 0.250) and Tc at (0.250, 0.250, 0.750).

The calculation puts the magnetization at 0.01 μB/atom. The value obtained for the theoretical density is 7.580 g/cm³. Its energy relative to the elements is 954.6 meV/atom.

=====

Computed, not measured: a relaxed structure of ErNbBi at the PBE level of DFT.

The structure belongs to space group F-43m (No. 216); the cell edges are 7.156, 7.156 and 7.156 Å and the angles 90.00°, 90.00° and 90.00°. The inequivalent atoms are Er at (0.000, 0.000, 0.000), Nb at (0.250, 0.250, 0.250) and Bi at (0.250, 0.250, 0.750).

The calculation puts the magnetization at 1.25 μB/atom. The value obtained for the theoretical density is 8.503 g/cm³. The total energy comes out at -65.63 eV for the cell shown.

=====

Computed, not measured: a relaxed structure of CoIr2W at the PBE level of DFT.

The structure belongs to space group Ama2 (No. 40); the cell edges are 4.339, 9.429 and 5.425 Å and the angles 90.00°, 90.00° and 90.00°. The inequivalent atoms are Co at (0.250, 0.080, 0.000), Ir at (0.250, 0.082, 0.498), Ir at (0.250, 0.336, 0.255) and W at (0.250, 0.336, 0.738).

The calculation puts the magnetization at 0.13 μB/atom. The value obtained for the theoretical density is 18.770 g/cm³. Its energy above the lowest structure with this stoichiometry is 0.015 eV/atom. Its energy relative to the elements is -251.2 meV/atom.

=====

Q: Which value of theoretical density does entry 10 give?
A: 8.503 g/cm³

=====

Copy entry 1 word for word.
Computed, not measured: a relaxed structure of HoAgGe at the PBE level of DFT.

The structure belongs to space group P-62m (No. 189); the cell edges are 7.1498, 7.1498 and 4.2117 Å and the angles 90.00°, 90.00° and 120.00°. The inequivalent atoms are Ho at (0.0000, 0.5826, 0.0000), Ag at (0.0000, 0.2507, 0.5000), Ge at (0.0000, 0.0000, 0.0000) and Ge at (0.3333, 0.6667, 0.5000).

The calculation puts the magnetization at 0.00 μB/atom. The value obtained for the theoretical density is 9.229 g/cm³. The total energy comes out at -41.96 eV for the cell shown.